Record 1
5
Lattice="4.8444 0.0000 0.0000 0.0000 4.8444 0.0000 0.0000 0.0000 4.6810" Properties=species:S:1:pos:R:3 comment="PBE-GGA Ni2HgGeAu, relaxed" formation_enthalpy_0k_ev_per_atom=0.8927 dft_energy_ev_per_atom=-3.059 total_magnetization_mub_per_fu=1.1 pbc="T T T"
Ni 0.0000 2.4222 0.0000
Ni 2.4222 0.0000 0.0000
Hg 0.0000 0.0000 2.3405
Ge 2.4222 2.4222 2.3405
Au 2.4222 2.4222 0.0000

***

Record 2
12
Lattice="-2.1740 2.1740 11.4156 2.1740 -2.1740 11.4156 2.1740 2.1740 -11.4156" Properties=species:S:1:pos:R:3 comment="PBE-GGA K3U2O5F2, relaxed" dft_energy_ev_per_atom=-7.428 raw_formation_energy_ev_per_atom=-2.89 total_magnetization_mub_per_fu=3.0 pbc="T T T"
K 0.0000 0.0000 0.0000
K 0.0000 0.0000 4.2599
K 0.0000 0.0000 18.5714
U 0.0000 0.0000 9.2449
U 0.0000 0.0000 13.5864
O 2.1740 0.0000 2.2820
O 2.1740 0.0000 9.1336
O 0.0000 0.0000 11.4156
O 0.0000 2.1740 2.2820
O 0.0000 2.1740 9.1336
F 0.0000 0.0000 6.8988
F 0.0000 0.0000 15.9324

***

Record 3
10
Lattice="7.2848 -2.1895 0.0000 7.2848 2.1895 0.0000 -5.2999 0.0000 9.3292" Properties=species:S:1:pos:R:3 comment="PBE-GGA NdDy4Te5, relaxed" dft_energy_ev_per_atom=-5.198 raw_formation_energy_ev_per_atom=-1.31 total_magnetization_mub_per_fu=0.0 pbc="T T T"
Nd 0.0000 0.0000 0.0000
Dy -1.2457 0.0000 7.4593
Dy 2.6457 0.0000 5.6590
Dy 6.6240 0.0000 3.6702
Dy 10.5154 0.0000 1.8699
Te -2.6500 0.0000 4.6646
Te 1.3340 0.0000 2.8774
Te 5.1957 0.0000 0.9708
Te 4.0740 0.0000 8.3584
Te 7.9357 0.0000 6.4518

***

> What is the formula in the first record?

Ni2HgGeAu

***

> Which formula does entry 2 have?

K3U2O5F2

***

> Which formula does entry 2 have?

K3U2O5F2